1.
Material: Na2FeTcS6
Method: DFT, PBE
State: optimized geometry

a b c (Å): 6.7109 6.7109 6.7109
angles (deg): 129.38 129.38 74.41
Fractional coordinates of all 10 atoms:
Na  0.2500  0.7500  0.5000
Na  0.7500  0.2500  0.5000
Fe  0.0000  0.0000  0.0000
Tc  0.5000  0.5000  0.0000
S  0.1246  0.6410  0.7657
S  0.2645  0.2645  0.0000
S  0.3590  0.1246  0.4836
S  0.6410  0.8754  0.5164
S  0.7355  0.7355  0.0000
S  0.8754  0.3590  0.2343

2.
Material: ThSi2Tc4
Method: DFT, PBE
State: optimized geometry

a b c (Å): 7.5278 7.5278 4.1011
angles (deg): 90.00 90.00 90.00
Fractional coordinates of all 14 atoms:
Th  0.0000  0.0000  0.0000
Th  0.5000  0.5000  0.5000
Si  0.2124  0.2124  0.5000
Si  0.2876  0.7124  0.0000
Si  0.7124  0.2876  0.0000
Si  0.7876  0.7876  0.5000
Tc  0.0870  0.6547  0.5000
Tc  0.1547  0.4130  0.0000
Tc  0.3453  0.9130  0.5000
Tc  0.4130  0.1547  0.0000
Tc  0.5870  0.8453  0.0000
Tc  0.6547  0.0870  0.5000
Tc  0.8453  0.5870  0.0000
Tc  0.9130  0.3453  0.5000

3.
Material: MgScAl4Pt2
Method: DFT, PBE
State: optimized geometry

a b c (Å): 5.9006 7.4040 7.4040
angles (deg): 35.92 90.00 90.00
Fractional coordinates of all 8 atoms:
Mg  0.0000  0.0000  0.0000
Sc  0.0000  0.7828  0.7828
Al  0.2490  0.1827  0.1827
Al  0.2940  0.4820  0.4820
Al  0.7060  0.4820  0.4820
Al  0.7510  0.1827  0.1827
Pt  0.0000  0.3597  0.3597
Pt  0.0000  0.6076  0.6076

4.
Material: GdTlNO
Method: DFT, PBE
State: optimized geometry

## Properties
* energy above the most stable polymorph in this dataset: 0.10 eV per formula unit

a b c (Å): 3.8738 6.6643 6.0807
angles (deg): 90.00 90.00 90.00
Fractional coordinates of all 8 atoms:
Gd  0.0000  0.1740  0.0000
Gd  0.0000  0.8260  0.5000
Tl  0.5000  0.3353  0.5059
Tl  0.5000  0.6647  0.0059
N  0.5000  0.3320  0.8961
N  0.5000  0.6680  0.3961
O  0.0000  0.1274  0.3575
O  0.0000  0.8726  0.8575

5.
Material: Al4W9
Method: DFT, PBE
State: optimized geometry

## Properties
* energy above the most stable polymorph in this dataset: 1.25 eV per formula unit

a b c (Å): 9.7255 9.7255 9.7255
angles (deg): 31.15 31.15 31.15
Fractional coordinates of all 13 atoms:
Al  0.0468  0.0468  0.0468
Al  0.1501  0.1501  0.1501
Al  0.8499  0.8499  0.8499
Al  0.9532  0.9532  0.9532
W  0.0831  0.5901  0.5901
W  0.3335  0.3335  0.3335
W  0.4099  0.4099  0.9169
W  0.4099  0.9169  0.4099
W  0.5000  0.5000  0.5000
W  0.5901  0.0831  0.5901
W  0.5901  0.5901  0.0831
W  0.6665  0.6665  0.6665
W  0.9169  0.4099  0.4099

6.
Material: Pm2GeSe
Method: DFT, PBE
State: optimized geometry

a b c (Å): 4.2326 4.2326 5.9720
angles (deg): 90.00 90.00 90.00
Fractional coordinates of all 4 atoms:
Pm  0.0000  0.0000  0.0000
Pm  0.5000  0.5000  0.5000
Ge  0.0000  0.0000  0.5000
Se  0.5000  0.5000  0.0000

7.
Material: LuPtNO
Method: DFT, PBE
State: optimized geometry

## Properties
* energy above the most stable polymorph in this dataset: 1.30 eV per formula unit

a b c (Å): 3.6724 5.9534 5.5102
angles (deg): 90.00 90.00 90.00
Fractional coordinates of all 8 atoms:
Lu  0.0000  0.2029  0.0000
Lu  0.0000  0.7971  0.5000
Pt  0.5000  0.2047  0.5204
Pt  0.5000  0.7953  0.0204
N  0.0000  0.1797  0.3996
N  0.0000  0.8203  0.8996
O  0.5000  0.3454  0.8774
O  0.5000  0.6546  0.3774

8.
Material: Sc2Zn3Mo4N3
Method: DFT, PBE
State: optimized geometry

a b c (Å): 5.3911 5.3911 13.5568
angles (deg): 101.39 101.39 60.28
Fractional coordinates of all 24 atoms:
Sc  0.0358  0.8685  0.6048
Sc  0.1315  0.9642  0.8952
Sc  0.8685  0.0358  0.1048
Sc  0.9642  0.1315  0.3952
Zn  0.0828  0.3933  0.7491
Zn  0.3933  0.0828  0.2491
Zn  0.4390  0.5610  0.2500
Zn  0.5610  0.4390  0.7500
Zn  0.6067  0.9172  0.7509
Zn  0.9172  0.6067  0.2509
Mo  0.1971  0.3664  0.0772
Mo  0.3168  0.4625  0.4222
Mo  0.3664  0.1971  0.5772
Mo  0.4625  0.3168  0.9222
Mo  0.5375  0.6832  0.0778
Mo  0.6336  0.8029  0.4228
Mo  0.6832  0.5375  0.5778
Mo  0.8029  0.6336  0.9228
N  0.0000  0.5000  0.5000
N  0.1519  0.6966  0.0000
N  0.3034  0.8481  0.5000
N  0.5000  0.0000  0.0000
N  0.6966  0.1519  0.5000
N  0.8481  0.3034  0.0000

9.
Material: ZnBNO
Method: DFT, PBE
State: optimized geometry

## Properties
* energy above the most stable polymorph in this dataset: 4.57 eV per formula unit

a b c (Å): 3.4088 3.4088 6.7698
angles (deg): 90.00 90.00 90.00
Fractional coordinates of all 8 atoms:
Zn  0.2500  0.2500  0.1384
Zn  0.7500  0.7500  0.8616
B  0.2500  0.7500  0.5000
B  0.7500  0.2500  0.5000
N  0.2500  0.2500  0.4463
N  0.7500  0.7500  0.5537
O  0.2500  0.7500  0.0000
O  0.7500  0.2500  0.0000

10.
Material: NaYFeW
Method: DFT, PBE
State: optimized geometry

## Properties
* energy above the most stable polymorph in this dataset: 0.00 eV per formula unit

a b c (Å): 4.6346 4.6346 4.6346
angles (deg): 60.00 60.00 60.00
Fractional coordinates of all 4 atoms:
Na  0.0000  0.0000  0.0000
Y  0.7500  0.7500  0.7500
Fe  0.5000  0.5000  0.5000
W  0.2500  0.2500  0.2500

11.
Material: Tb4NiB13
Method: DFT, PBE
State: optimized geometry

a b c (Å): 7.3350 7.3350 6.9366
angles (deg): 90.00 90.00 90.00
Fractional coordinates of all 36 atoms:
Tb  0.1799  0.3155  0.0000
Tb  0.1845  0.3201  0.5000
Tb  0.3155  0.8201  0.0000
Tb  0.3201  0.8155  0.5000
Tb  0.6799  0.1845  0.5000
Tb  0.6845  0.1799  0.0000
Tb  0.8155  0.6799  0.5000
Tb  0.8201  0.6845  0.0000
Ni  0.0000  0.0000  0.5000
Ni  0.5000  0.5000  0.0000
B  0.0000  0.0000  0.0000
B  0.0400  0.8303  0.2432
B  0.0400  0.8303  0.7568
B  0.0927  0.5927  0.2500
B  0.0927  0.5927  0.7500
B  0.1697  0.0400  0.2432
B  0.1697  0.0400  0.7568
B  0.3303  0.5400  0.2568
B  0.3303  0.5400  0.7432
B  0.4073  0.0927  0.2500
B  0.4073  0.0927  0.7500
B  0.4600  0.3303  0.2568
B  0.4600  0.3303  0.7432
B  0.5000  0.5000  0.5000
B  0.5400  0.6697  0.2568
B  0.5400  0.6697  0.7432
B  0.5927  0.9073  0.2500
B  0.5927  0.9073  0.7500
B  0.6697  0.4600  0.2568
B  0.6697  0.4600  0.7432
B  0.8303  0.9600  0.2432
B  0.8303  0.9600  0.7568
B  0.9073  0.4073  0.2500
B  0.9073  0.4073  0.7500
B  0.9600  0.1697  0.2432
B  0.9600  0.1697  0.7568

12.
Material: GdYAu
Method: DFT, PBE
State: optimized geometry

## Properties
* energy relative to the elements: -42.1 kJ per mole of atoms
* energy above the most stable polymorph in this dataset: 0.58 eV per formula unit

a b c (Å): 4.9654 4.9654 4.9654
angles (deg): 60.00 60.00 60.00
Fractional coordinates of all 3 atoms:
Gd  0.0000  0.0000  0.0000
Y  0.5000  0.5000  0.5000
Au  0.2500  0.2500  0.2500

no.,uncorrected energy (eV/atom)
1,-5.02
2,-9.08
3,-4.64
4,-6.16
5,-9.83
6,-5.82
7,-7.00
8,-7.59
9,-5.33
10,-6.38
11,-6.62
12,-5.23